Below is a geometry-optimized Rb2NaMoCl structure, with properties calculated at the GGA-PBE level.

a b c (Å): 6.675 6.675 5.122
angles (deg): 90.00 90.00 90.00
Element x y z (fractional)
Rb 0.000 0.500 0.000
Rb 0.500 0.000 0.000
Na 0.000 0.000 0.500
Mo 0.500 0.500 0.500
Cl 0.500 0.500 0.000

Computed properties:
The volume comes out at 228.3 Å³ per cell. The value obtained for the energy is -2.854 eV per atom. The total magnetic moment is 4.47 μB per formula unit. The density of states at the Fermi level comes out at 1.75 states/eV/f.u. The space-group type is No. 123.